Entry 1:
This record from the Alexandria database describes an optimized crystal structure of Ac2SbPt. The functional is PBE.

Cell: 3.9731 3.9731 7.7302 Å, 90.00 90.00 90.00°
Last column: nearest neighbours and their distance in Å.
Fractional coordinates of all 4 atoms:
Ac (0.0000, 0.0000, 0.2349)  4 Pt 3.35, 4 Sb 3.48, 1 Ac 3.63
Ac (0.0000, 0.0000, 0.7651)  4 Pt 3.35, 4 Sb 3.48, 1 Ac 3.63
Sb (0.5000, 0.5000, 0.5000)  8 Ac 3.48, 2 Pt 3.87
Pt (0.5000, 0.5000, 0.0000)  8 Ac 3.35

Values from the calculation:
N(E_F): 2.52 states/eV per cell
E: -0.4077 Ry/atom
space-group type: P4/mmm, No. 123

Entry 2:
This record from the Alexandria database describes an optimized crystal structure of Ac2Sb3Pt2. The functional is PBE.

Cell: 6.0399 6.0399 7.6851 Å, 106.58 106.58 44.24°
Last column: nearest neighbours and their distance in Å.
Fractional coordinates of all 7 atoms:
Ac (0.1434, 0.1434, 0.2968)  4 Pt 3.28-3.47, 4 Sb 3.42-3.47
Ac (0.8566, 0.8566, 0.7032)  4 Pt 3.28-3.47, 4 Sb 3.42-3.47
Sb (0.3799, 0.3799, 0.0537)  3 Pt 2.81, 1 Sb 3.04
Sb (0.5000, 0.5000, 0.5000)  4 Pt 3.16, 2 Sb 3.28, 4 Ac 3.42
Sb (0.6201, 0.6201, 0.9463)  3 Pt 2.81, 1 Sb 3.04
Pt (0.1583, 0.1583, 0.7550)  3 Sb 2.81
Pt (0.8417, 0.8417, 0.2450)  3 Sb 2.81

Values from the calculation:
N(E_F): 2.67 states/eV per cell
E: -0.4057 Ry/atom
space-group type: C2/m, No. 12